Entry 1:
Crystalline YCu3Ru at its relaxed geometry, computed with PBE.

Summary:
As for the size of the total moment: 2.08 μB/f.u. For the calculated formation energy, the calculation gives 171.1 kJ per mole of atoms. The density of states at the Fermi level comes out at 2.01 states/eV/cell. The calculation puts the excess energy over the best structure of this formula in the dataset at 6.32 eV/f.u.

Unit cell a=4.809 b=4.809 c=4.809 alpha=90.00 beta=90.00 gamma=90.00
Element x y z (fractional)
Y (0.000, 0.000, 0.000)
Ru (0.500, 0.500, 0.500)
Cu (0.000, 0.500, 0.000)
Cu (0.000, 0.000, 0.500)
Cu (0.500, 0.000, 0.000)

Entry 2:
Crystalline Y3CuRu at its relaxed geometry, computed with PBE.

Summary:
As for the size of the total moment: 0.00 μB/f.u. For the calculated formation energy, the calculation gives -23.8 kJ per mole of atoms. The density of states at the Fermi level comes out at 9.33 states/eV/cell. The calculation puts the excess energy over the best structure of this formula in the dataset at 0.00 eV/f.u.

Unit cell a=4.097 b=6.532 c=8.984 alpha=89.96 beta=90.00 gamma=90.00
Element x y z (fractional)
Y (0.250, 0.782, 0.558)
Y (0.250, 0.267, 0.750)
Y (0.250, 0.781, 0.942)
Y (0.750, 0.218, 0.442)
Y (0.750, 0.219, 0.058)
Y (0.750, 0.733, 0.250)
Cu (0.750, 0.575, 0.750)
Cu (0.250, 0.425, 0.250)
Ru (0.250, 0.025, 0.250)
Ru (0.750, 0.975, 0.750)